(1)
Here is Pm5Sn2Ge5 after structural relaxation from Alexandria. Energies are from PBE-GGA.

abc: 8.035 8.035 11.969
angles: 127.30 127.30 30.79
Positions (direct):
Pm 0.000 0.000 0.000
Pm 0.105 0.105 0.432
Pm 0.200 0.200 0.837
Pm 0.800 0.800 0.163
Pm 0.895 0.895 0.568
Sn 0.358 0.358 0.733
Sn 0.642 0.642 0.267
Ge 0.272 0.272 0.315
Ge 0.423 0.423 0.133
Ge 0.500 0.500 0.500
Ge 0.577 0.577 0.867
Ge 0.728 0.728 0.685

Calculated formation energy (eV per atom): -0.640

(2)
Here is Fe2SbI2 after structural relaxation from Alexandria. Energies are from PBE-GGA.

abc: 9.472 9.472 9.472
angles: 157.61 157.61 31.87
Positions (direct):
Fe 0.250 0.750 0.500
Fe 0.750 0.250 0.500
Sb 0.000 0.000 0.000
I 0.342 0.342 0.000
I 0.658 0.658 0.000

Relative energy among the computed polymorphs (meV per atom): 0
E_form (uncorrected) (eV/atom): 0.62

(3)
Here is InGa2CoPb after structural relaxation from Alexandria. Energies are from PBE-GGA.

abc: 4.636 4.636 5.079
angles: 90.00 90.00 90.00
Positions (direct):
In 0.000 0.000 0.000
Ga 0.000 0.500 0.500
Ga 0.500 0.000 0.500
Co 0.000 0.000 0.500
Pb 0.500 0.500 0.000

Calculated formation energy (eV per atom): 0.040
Relative energy among the computed polymorphs (meV per atom): 0

(4)
Here is BePH2 after structural relaxation from Alexandria. Energies are from PBE-GGA.

abc: 3.450 3.450 3.450
angles: 60.00 60.00 60.00
Positions (direct):
Be 0.000 0.000 0.000
P 0.500 0.500 0.500
H 0.250 0.250 0.250
H 0.750 0.750 0.750

Relative energy among the computed polymorphs (meV per atom): 261

(5)
Here is KUTiO5 after structural relaxation from Alexandria. Energies are from PBE-GGA.

abc: 6.200 6.200 8.053
angles: 105.03 105.03 105.15
Positions (direct):
K 0.169 0.831 0.750
K 0.831 0.169 0.250
U 0.500 0.500 0.000
U 0.500 0.500 0.500
Ti 0.186 0.814 0.250
Ti 0.814 0.186 0.750
O 0.124 0.268 0.896
O 0.210 0.619 0.389
O 0.268 0.124 0.396
O 0.381 0.790 0.111
O 0.437 0.563 0.750
O 0.563 0.437 0.250
O 0.619 0.210 0.889
O 0.732 0.876 0.604
O 0.790 0.381 0.611
O 0.876 0.732 0.104

E_form (uncorrected) (eV/atom): -2.97

(6)
Here is Tm6MnRu5 after structural relaxation from Alexandria. Energies are from PBE-GGA.

abc: 4.757 6.793 7.535
angles: 90.00 108.47 90.00
Positions (direct):
Tm 0.000 0.239 0.000
Tm 0.000 0.761 0.000
Tm 0.329 0.246 0.659
Tm 0.329 0.754 0.659
Tm 0.671 0.246 0.341
Tm 0.671 0.754 0.341
Mn 0.500 0.500 0.000
Ru 0.159 0.500 0.319
Ru 0.167 0.000 0.334
Ru 0.500 0.000 0.000
Ru 0.833 0.000 0.666
Ru 0.841 0.500 0.681

Calculated formation energy (eV per atom): -0.363

(7)
Here is ErTm8Th2 after structural relaxation from Alexandria. Energies are from PBE-GGA.

abc: 8.872 8.872 6.560
angles: 99.27 99.27 43.01
Positions (direct):
Er 0.000 0.000 0.000
Tm 0.174 0.655 0.597
Tm 0.199 0.199 0.815
Tm 0.345 0.826 0.403
Tm 0.410 0.410 0.095
Tm 0.590 0.590 0.905
Tm 0.655 0.174 0.597
Tm 0.801 0.801 0.185
Tm 0.826 0.345 0.403
Th 0.248 0.248 0.335
Th 0.752 0.752 0.665

Calculated formation energy (eV per atom): 0.190
Relative energy among the computed polymorphs (meV per atom): 0

no.,raw total energy (eV per atom),total moment (μB per cell)
1,-5.21,0.00
2,-4.21,0.00
3,-3.88,0.00
4,-3.14,0.00
5,-8.60,2.00
6,-7.23,4.03
7,-4.83,0.00